{"formula": "Pr12YEr5", "functional": "PBE-GGA", "state": "relaxed", "lattice": [[10.940, 0.000, 0.000], [0.000, 5.182, 0.000], [-0.085, 0.000, 10.957]], "species": ["Pr", "Pr", "Pr", "Pr", "Pr", "Pr", "Pr", "Pr", "Pr", "Pr", "Pr", "Pr", "Y", "Er", "Er", "Er", "Er", "Er"], "frac_coords": [[0.002, 0.000, 0.168], [0.165, 0.500, 0.665], [0.170, 0.500, 0.003], [0.332, 0.000, 0.498], [0.336, 0.000, 0.836], [0.497, 0.500, 0.331], [0.503, 0.500, 0.669], [0.664, 0.000, 0.164], [0.668, 0.000, 0.502], [0.830, 0.500, 0.997], [0.835, 0.500, 0.335], [0.998, 0.000, 0.832], [0.000, 0.000, 0.500], [0.167, 0.500, 0.333], [0.333, 0.000, 0.167], [0.500, 0.500, 0.000], [0.667, 0.000, 0.833], [0.833, 0.500, 0.667]], "formation_energy_ev_per_atom": 0.025, "total_energy_ev_per_atom": -4.788, "m_tot_mub_per_cell": 0.00}

=====

{"formula": "Dy12BiRh6", "functional": "PBE-GGA", "state": "relaxed", "lattice": [[-4.967, 4.967, 4.967], [4.967, -4.967, 4.967], [4.967, 4.967, -4.967]], "species": ["Dy", "Dy", "Dy", "Dy", "Dy", "Dy", "Dy", "Dy", "Dy", "Dy", "Dy", "Dy", "Bi", "Rh", "Rh", "Rh", "Rh", "Rh", "Rh"], "frac_coords": [[0.113, 0.304, 0.809], [0.191, 0.495, 0.304], [0.191, 0.887, 0.696], [0.304, 0.191, 0.495], [0.304, 0.809, 0.113], [0.495, 0.304, 0.191], [0.505, 0.696, 0.809], [0.696, 0.191, 0.887], [0.696, 0.809, 0.505], [0.809, 0.113, 0.304], [0.809, 0.505, 0.696], [0.887, 0.696, 0.191], [0.000, 0.000, 0.000], [0.130, 0.500, 0.630], [0.370, 0.870, 0.500], [0.500, 0.370, 0.870], [0.500, 0.630, 0.130], [0.630, 0.130, 0.500], [0.870, 0.500, 0.370]], "formation_energy_ev_per_atom": -0.647, "total_energy_ev_per_atom": -6.079, "m_tot_mub_per_cell": 0.00}

=====

{"formula": "Ce2TmGe4Pt3", "functional": "PBE-GGA", "state": "relaxed", "lattice": [[4.307, 0.000, 0.000], [0.000, 4.307, 0.000], [0.000, 0.000, 11.122]], "species": ["Ce", "Ce", "Tm", "Ge", "Ge", "Ge", "Ge", "Pt", "Pt", "Pt"], "frac_coords": [[0.000, 0.500, 0.232], [0.500, 0.000, 0.768], [0.000, 0.000, 0.500], [0.000, 0.000, 0.000], [0.000, 0.500, 0.659], [0.500, 0.000, 0.341], [0.500, 0.500, 0.000], [0.000, 0.500, 0.882], [0.500, 0.000, 0.118], [0.500, 0.500, 0.500]], "formation_energy_ev_per_atom": -0.895, "total_energy_ev_per_atom": -6.188, "m_tot_mub_per_cell": 1.23}

=====

{"formula": "Zn2RuPb", "functional": "PBE-GGA", "state": "relaxed", "lattice": [[2.752, -3.758, 0.000], [2.752, 3.758, 0.000], [0.000, 0.000, 3.372]], "species": ["Zn", "Zn", "Ru", "Pb"], "frac_coords": [[0.000, 0.500, 0.000], [0.500, 0.000, 0.000], [0.000, 0.000, 0.500], [0.500, 0.500, 0.500]], "formation_energy_ev_per_atom": 0.317, "total_energy_ev_per_atom": -3.566, "m_tot_mub_per_cell": 0.00}

=====

{"formula": "CrTc2Ag", "functional": "PBE-GGA", "state": "relaxed", "lattice": [[2.709, -4.016, 0.000], [2.709, 4.016, 0.000], [-0.021, 0.000, 2.716]], "species": ["Cr", "Tc", "Tc", "Ag"], "frac_coords": [[0.000, 0.000, 0.000], [0.000, 0.500, 0.500], [0.500, 0.000, 0.500], [0.500, 0.500, 0.000]], "formation_energy_ev_per_atom": 0.525, "total_energy_ev_per_atom": -7.777, "m_tot_mub_per_cell": 1.63, "relative_energy_mev_per_atom": 220}

=====

{"formula": "Ta3RhC", "functional": "PBE-GGA", "state": "relaxed", "lattice": [[4.255, 0.000, 0.000], [0.000, 4.255, 0.000], [0.000, 0.000, 4.255]], "species": ["Ta", "Ta", "Ta", "Rh", "C"], "frac_coords": [[0.000, 0.000, 0.500], [0.000, 0.500, 0.000], [0.500, 0.000, 0.000], [0.500, 0.500, 0.500], [0.000, 0.000, 0.000]], "formation_energy_ev_per_atom": -0.288, "total_energy_ev_per_atom": -10.715, "m_tot_mub_per_cell": 0.00, "relative_energy_mev_per_atom": 89}

=====

{"formula": "BaHRu2", "functional": "PBE-GGA", "state": "relaxed", "lattice": [[0.000, 3.266, 3.266], [3.266, 0.000, 3.266], [3.266, 3.266, 0.000]], "species": ["Ba", "H", "Ru", "Ru"], "frac_coords": [[0.000, 0.000, 0.000], [0.500, 0.500, 0.500], [0.250, 0.250, 0.250], [0.750, 0.750, 0.750]], "total_energy_ev_per_atom": -4.277, "m_tot_mub_per_cell": 1.52, "relative_energy_mev_per_atom": 1325}

=====

{"formula": "Cs2Rb6S", "functional": "PBE-GGA", "state": "relaxed", "lattice": [[4.968, 2.868, 8.747], [-4.968, 2.868, 8.747], [0.000, -5.736, 8.747]], "species": ["Cs", "Cs", "Rb", "Rb", "Rb", "Rb", "Rb", "Rb", "S"], "frac_coords": [[0.000, 0.000, 0.000], [0.193, 0.193, 0.193], [0.129, 0.674, 0.674], [0.523, 0.523, 0.963], [0.523, 0.963, 0.523], [0.674, 0.129, 0.674], [0.674, 0.674, 0.129], [0.963, 0.523, 0.523], [0.749, 0.749, 0.749]], "e_form_raw_ev_per_atom": -0.26, "total_energy_ev_per_atom": -1.558, "m_tot_mub_per_cell": 0.00}

=====

{"formula": "CsZrCu2", "functional": "PBE-GGA", "state": "relaxed", "lattice": [[-3.942, 3.942, 3.741], [3.942, -3.942, 3.741], [3.942, 3.942, -3.741]], "species": ["Cs", "Cs", "Zr", "Zr", "Cu", "Cu", "Cu", "Cu"], "frac_coords": [[0.000, 0.000, 0.000], [0.750, 0.250, 0.500], [0.250, 0.750, 0.500], [0.500, 0.500, 0.000], [0.193, 0.625, 0.068], [0.375, 0.443, 0.568], [0.557, 0.125, 0.932], [0.875, 0.807, 0.432]], "formation_energy_ev_per_atom": 0.926, "total_energy_ev_per_atom": -3.472, "m_tot_mub_per_cell": 0.00, "relative_energy_mev_per_atom": 0}

=====

{"formula": "HoOsC", "functional": "PBE-GGA", "state": "relaxed", "lattice": [[3.367, 0.000, 0.000], [-1.684, 2.916, 0.000], [0.000, 0.000, 4.773]], "species": ["Ho", "Os", "C"], "frac_coords": [[0.000, 0.000, 0.000], [0.667, 0.333, 0.524], [0.333, 0.667, 0.662]], "formation_energy_ev_per_atom": -0.043, "total_energy_ev_per_atom": -8.387, "m_tot_mub_per_cell": 0.00, "relative_energy_mev_per_atom": 44}

=====

{"formula": "TlCdAgS2", "functional": "PBE-GGA", "state": "relaxed", "lattice": [[7.034, -2.120, 0.000], [7.034, 2.120, 0.000], [-1.462, 0.000, 9.122]], "species": ["Tl", "Tl", "Cd", "Cd", "Ag", "Ag", "S", "S", "S", "S"], "frac_coords": [[0.177, 0.177, 0.166], [0.823, 0.823, 0.834], [0.440, 0.440, 0.309], [0.560, 0.560, 0.691], [0.178, 0.178, 0.548], [0.822, 0.822, 0.452], [0.137, 0.137, 0.816], [0.380, 0.380, 0.598], [0.620, 0.620, 0.402], [0.863, 0.863, 0.184]], "e_form_raw_ev_per_atom": -0.31, "total_energy_ev_per_atom": -3.186, "m_tot_mub_per_cell": 0.00}

=====

{"formula": "HfHgS2", "functional": "PBE-GGA", "state": "relaxed", "lattice": [[-2.697, 2.697, 6.070], [2.697, -2.697, 6.070], [2.697, 2.697, -6.070]], "species": ["Hf", "Hf", "Hg", "Hg", "S", "S", "S", "S"], "frac_coords": [[0.375, 0.625, 0.750], [0.625, 0.375, 0.250], [0.125, 0.875, 0.250], [0.875, 0.125, 0.750], [0.167, 0.417, 0.750], [0.417, 0.167, 0.250], [0.583, 0.833, 0.750], [0.833, 0.583, 0.250]], "e_form_raw_ev_per_atom": -0.57, "total_energy_ev_per_atom": -5.202, "m_tot_mub_per_cell": 0.26}

=====

What is the formula in the sixth record?
Ta3RhC